This record from Alexandria describes an optimized crystal structure of Hf4In3. The functional is PBE.

a b c (Å): 11.6079 11.6079 11.6079
angles (deg): 161.52 161.52 26.25
Last column: nearest neighbours and their distance in Å.
Positions (direct):
Hf  0.0724  0.0724  0.0000  5 Hf 3.06-3.27, 5 In 3.10-3.21
Hf  0.3585  0.3585  0.0000  4 Hf 3.06, 6 In 3.11-3.26
Hf  0.6415  0.6415  0.0000  4 Hf 3.06, 6 In 3.11-3.26
Hf  0.9276  0.9276  0.0000  5 Hf 3.06-3.27, 5 In 3.10-3.21
In  0.2142  0.2142  0.0000  4 In 3.09, 6 Hf 3.11-3.26
In  0.5000  0.5000  0.0000  10 Hf 3.10-3.20
In  0.7858  0.7858  0.0000  4 In 3.09, 6 Hf 3.11-3.26

Calculated values
Calculated total energy = -48.12 eV per formula unit
Fermi-level density of states = 7.21 states/eV per cell
Magnetization = 0.000 μB/atom


This record from Alexandria describes an optimized crystal structure of PrHI. The functional is PBE.

a b c (Å): 5.7314 5.7314 5.7314
angles (deg): 120.19 108.09 100.76
Last column: nearest neighbours and their distance in Å.
Positions (direct):
Pr  0.0000  0.0000  0.0000  4 H 2.87
Pr  0.5000  0.0000  0.5000  4 H 2.87
H  0.5000  0.0000  0.0000  2 H 2.86, 4 Pr 2.87, 2 I 3.02
H  0.5000  0.5000  0.5000  2 H 2.86, 4 Pr 2.87, 2 I 3.02
I  0.1361  0.3861  0.7500  2 H 3.02, 2 Pr 3.29
I  0.8639  0.6139  0.2500  2 H 3.02, 2 Pr 3.29

Calculated values
Calculated total energy = -11.21 eV per formula unit
Fermi-level density of states = 2.30 states/eV per cell
Magnetization = 0.000 μB/atom


This record from Alexandria describes an optimized crystal structure of LaCdAg3. The functional is PBE.

a b c (Å): 5.1484 5.1484 5.1484
angles (deg): 90.00 90.00 90.00
Last column: nearest neighbours and their distance in Å.
Positions (direct):
La  0.0000  0.0000  0.0000  12 Ag 3.64
Cd  0.5000  0.5000  0.5000  6 Ag 2.57
Ag  0.0000  0.5000  0.5000  2 Cd 2.57
Ag  0.5000  0.0000  0.5000  2 Cd 2.57
Ag  0.5000  0.5000  0.0000  2 Cd 2.57

Calculated values
Distance to the lowest polymorph of the same formula = 0.418 eV/atom
Fermi-level density of states = 3.71 states/eV per cell
Magnetization = 0.000 μB/atom


This record from Alexandria describes an optimized crystal structure of Fe2AgBiP. The functional is PBE.

a b c (Å): 4.8357 4.8357 4.4566
angles (deg): 90.00 90.00 90.00
Last column: nearest neighbours and their distance in Å.
Positions (direct):
Fe  0.0000  0.5000  0.0000  2 Ag 2.42
Fe  0.5000  0.0000  0.0000  2 Ag 2.42
Ag  0.0000  0.0000  0.0000  2 P 2.23, 4 Fe 2.42
Bi  0.5000  0.5000  0.5000  8 Fe 3.29, 4 P 3.42
P  0.0000  0.0000  0.5000  2 Ag 2.23

Calculated values
Calculated total energy = -21.02 eV per formula unit
Fermi-level density of states = 7.88 states/eV per cell
Magnetization = 0.029 μB/atom


This record from Alexandria describes an optimized crystal structure of CsZr2Ir. The functional is PBE.

a b c (Å): 4.9861 4.9861 4.9861
angles (deg): 60.00 60.00 60.00
Last column: nearest neighbours and their distance in Å.
Positions (direct):
Cs  0.0000  0.0000  0.0000  8 Zr 3.05
Zr  0.2500  0.2500  0.2500  4 Ir 3.05, 4 Cs 3.05
Zr  0.7500  0.7500  0.7500  4 Ir 3.05, 4 Cs 3.05
Ir  0.5000  0.5000  0.5000  8 Zr 3.05

Calculated values
Distance to the lowest polymorph of the same formula = 0.000 eV/atom
Fermi-level density of states = 6.01 states/eV per cell
Magnetization = 0.000 μB/atom


This record from Alexandria describes an optimized crystal structure of Ba3HfRh2O9. The functional is PBE.

a b c (Å): 5.8000 5.8000 7.1225
angles (deg): 90.00 90.00 120.00
Last column: nearest neighbours and their distance in Å.
Positions (direct):
Ba  0.0000  0.0000  0.0000  12 O 2.90-2.91
Ba  0.3333  0.6667  0.6777  12 O 2.84-2.97
Ba  0.6667  0.3333  0.3223  12 O 2.84-2.97
Hf  0.0000  0.0000  0.5000  6 O 2.08
Rh  0.3333  0.6667  0.1666  6 O 2.03-2.05
Rh  0.6667  0.3333  0.8334  6 O 2.03-2.05
O  0.0000  0.5000  0.0000  2 Rh 2.05
O  0.1690  0.3380  0.3317  1 Rh 2.03, 1 Hf 2.08
O  0.1690  0.8310  0.3317  1 Rh 2.03, 1 Hf 2.08
O  0.3380  0.1690  0.6683  1 Rh 2.03, 1 Hf 2.08
O  0.5000  0.0000  0.0000  2 Rh 2.05
O  0.5000  0.5000  0.0000  2 Rh 2.05
O  0.6620  0.8310  0.3317  1 Rh 2.03, 1 Hf 2.08
O  0.8310  0.1690  0.6683  1 Rh 2.03, 1 Hf 2.08
O  0.8310  0.6620  0.6683  1 Rh 2.03, 1 Hf 2.08

Calculated values
Formation energy from raw total energies = -2.137 eV per atom
Fermi-level density of states = 7.60 states/eV per cell
Magnetization = 0.140 μB/atom